No. 1
Density functional theory data (GGA-PBE) for a geometry-optimized CaPmZnPd structure.

The space group is Amm2 (No. 38) and the conventional cell measures 4.3594, 4.0128 and 11.3699 Å, with angles of 90.00, 90.00 and 90.00 degrees. The asymmetric unit holds Ca at (0.0000, 0.0000, 0.0000), Pm at (0.5000, 0.0000, 0.2843), Zn at (0.5000, 0.0000, 0.5733) and Pd at (0.0000, 0.0000, 0.7181).



No. 2
Density functional theory data (GGA-PBE) for a geometry-optimized CaPmZnPd structure.

The space group is F-43m (No. 216) and the conventional cell measures 7.2031, 7.2031 and 7.2031 Å, with angles of 90.00, 90.00 and 90.00 degrees. The asymmetric unit holds Ca at (0.0000, 0.0000, 0.0000), Pm at (0.0000, 0.0000, 0.5000), Zn at (0.2500, 0.2500, 0.7500) and Pd at (0.2500, 0.2500, 0.2500).



No. 3
Density functional theory data (GGA-PBE) for a geometry-optimized Ca2Pm2ZnPd4 structure.

The space group is I4/mmm (No. 139) and the conventional cell measures 6.9710, 6.9710 and 8.7169 Å, with angles of 90.00, 90.00 and 90.00 degrees. The asymmetric unit holds Ca at (0.0000, 0.5000, 0.2500), Pm at (0.0000, 0.0000, 0.1880), Zn at (0.0000, 0.0000, 0.5000) and Pd at (0.2436, 0.2436, 0.0000).



No. 4
Density functional theory data (GGA-PBE) for a geometry-optimized Ca2PrPd2 structure.

The space group is Cmcm (No. 63) and the conventional cell measures 4.2631, 27.2263 and 4.5128 Å, with angles of 90.00, 90.00 and 90.00 degrees. The asymmetric unit holds Ca at (0.0000, 0.0519, 0.2500), Ca at (0.0000, 0.2504, 0.7500), Pr at (0.0000, 0.3632, 0.2500), Pd at (0.0000, 0.1704, 0.2500) and Pd at (0.0000, 0.4685, 0.2500).



No. 5
Density functional theory data (GGA-PBE) for a geometry-optimized CaPr2Pd2 structure.

The space group is P-1 (No. 2) and the conventional cell measures 5.1073, 7.9945 and 7.9991 Å, with angles of 67.05, 71.49 and 71.50 degrees. The asymmetric unit holds Ca at (0.2494, 0.2504, 0.2507), Pr at (0.0885, 0.7450, 0.0780), Pr at (0.4121, 0.7553, 0.4208), Pd at (0.1581, 0.0087, 0.6750) and Pd at (0.3416, 0.4913, 0.8250).



No. 6
Density functional theory data (GGA-PBE) for a geometry-optimized CaPrPd2 structure.

The space group is R3m (No. 160, hexagonal axes) and the conventional cell measures 4.1079, 4.1079 and 21.5444 Å, with angles of 90.00, 90.00 and 120.00 degrees. The asymmetric unit holds Ca at (0.0000, 0.0000, 0.0000), Pr at (0.0000, 0.0000, 0.1718), Pd at (0.0000, 0.0000, 0.5882) and Pd at (0.0000, 0.0000, 0.7520).



Sequential formation enthalpy at 0 K output: -0.5302; -0.5070; -0.4139; -0.5217; -0.5541; -0.5664 eV per atom